1.
DFT (PBE-GGA) results for a relaxed ThAl2GaCu4 crystal.

Cell lengths 4.1856, 4.1856, 8.9618 Å; angles 76.50, 76.50, 60.00 degrees
With the nearest neighbours (Å) after each atom.
Fractional coordinates of all 8 atoms:
Th (0.0000, 0.0000, 0.0000)  8 Cu 3.04-3.35, 6 Al 3.36
Al (0.7568, 0.7568, 0.7296)  6 Cu 2.46-2.62
Al (0.2432, 0.2432, 0.2704)  6 Cu 2.46-2.62
Ga (0.5000, 0.5000, 0.5000)  8 Cu 2.47-2.60
Cu (0.4047, 0.4047, 0.7858)  3 Al 2.46, 1 Ga 2.47
Cu (0.8707, 0.8707, 0.3880)  3 Ga 2.60, 3 Al 2.62, 3 Cu 2.84
Cu (0.1293, 0.1293, 0.6120)  3 Ga 2.60, 3 Al 2.62, 3 Cu 2.84
Cu (0.5953, 0.5953, 0.2142)  3 Al 2.46, 1 Ga 2.47

Computed properties:
Formation energy from the elements ... -0.249 eV/atom
VASP energy ... -36.312 eV per formula unit

2.
DFT (PBE-GGA) results for a relaxed Th2Al3GaCu4 crystal.

Cell lengths 4.2682, 4.2682, 9.9730 Å; angles 90.00, 90.00, 90.00 degrees
With the nearest neighbours (Å) after each atom.
Fractional coordinates of all 10 atoms:
Th (0.5000, 0.0000, 0.2454)  6 Al 3.24-3.32, 8 Cu 3.25-3.26, 2 Ga 3.32
Th (0.0000, 0.5000, 0.7546)  6 Al 3.24-3.32, 8 Cu 3.25-3.26, 2 Ga 3.32
Al (0.0000, 0.0000, 0.5000)  4 Cu 2.50
Al (0.5000, 0.0000, 0.8741)  5 Cu 2.43-2.48
Al (0.0000, 0.5000, 0.1259)  5 Cu 2.43-2.48
Ga (0.5000, 0.5000, 0.5000)  4 Cu 2.50
Cu (0.5000, 0.5000, 0.0000)  4 Al 2.48
Cu (0.0000, 0.0000, 0.0000)  4 Al 2.48
Cu (0.5000, 0.0000, 0.6302)  3 Al 2.43-2.50, 2 Ga 2.50
Cu (0.0000, 0.5000, 0.3698)  3 Al 2.43-2.50, 2 Ga 2.50

Computed properties:
Formation energy from the elements ... -0.404 eV/atom
VASP energy ... -49.515 eV per formula unit

3.
DFT (PBE-GGA) results for a relaxed Th2AlGa3Cu4 crystal.

Cell lengths 4.2402, 4.2402, 10.0380 Å; angles 90.00, 90.00, 90.00 degrees
With the nearest neighbours (Å) after each atom.
Fractional coordinates of all 10 atoms:
Th (0.5000, 0.0000, 0.2409)  6 Ga 3.20-3.36, 8 Cu 3.22-3.27, 2 Al 3.36
Th (0.0000, 0.5000, 0.7591)  6 Ga 3.20-3.36, 8 Cu 3.22-3.27, 2 Al 3.36
Al (0.5000, 0.5000, 0.5000)  4 Cu 2.49
Ga (0.0000, 0.0000, 0.5000)  4 Cu 2.49
Ga (0.5000, 0.0000, 0.8709)  5 Cu 2.42-2.48
Ga (0.0000, 0.5000, 0.1291)  5 Cu 2.42-2.48
Cu (0.5000, 0.5000, 0.0000)  4 Ga 2.48
Cu (0.0000, 0.0000, 0.0000)  4 Ga 2.48
Cu (0.5000, 0.0000, 0.6301)  3 Ga 2.42-2.49, 2 Al 2.49
Cu (0.0000, 0.5000, 0.3699)  3 Ga 2.42-2.49, 2 Al 2.49

Computed properties:
Formation energy from the elements ... -0.431 eV/atom
VASP energy ... -48.354 eV per formula unit

4.
DFT (PBE-GGA) results for a relaxed Th3Al2GaCu6 crystal.

Cell lengths 5.7022, 5.7022, 8.2795 Å; angles 90.00, 90.00, 120.00 degrees
With the nearest neighbours (Å) after each atom.
Fractional coordinates of all 12 atoms:
Th (0.3333, 0.6667, 0.6276)  9 Cu 2.96-3.24
Th (0.6667, 0.3333, 0.3724)  9 Cu 2.96-3.24
Th (0.0000, 0.0000, 0.0000)  6 Cu 2.94
Al (0.6667, 0.3333, 0.9705)  3 Cu 2.55
Al (0.3333, 0.6667, 0.0295)  3 Cu 2.55
Ga (0.0000, 0.0000, 0.5000)  6 Cu 2.57
Cu (0.6338, 0.8169, 0.2795)  1 Al 2.55, 1 Ga 2.57, 2 Cu 2.57
Cu (0.1831, 0.3662, 0.2795)  1 Al 2.55, 1 Ga 2.57, 2 Cu 2.57
Cu (0.1831, 0.8169, 0.2795)  1 Al 2.55, 1 Ga 2.57, 2 Cu 2.57
Cu (0.8169, 0.6338, 0.7205)  1 Al 2.55, 1 Ga 2.57, 2 Cu 2.57
Cu (0.3662, 0.1831, 0.7205)  1 Al 2.55, 1 Ga 2.57, 2 Cu 2.57
Cu (0.8169, 0.1831, 0.7205)  1 Al 2.55, 1 Ga 2.57, 2 Cu 2.57

Computed properties:
Formation energy from the elements ... -0.073 eV/atom
VASP energy ... -58.226 eV per formula unit

formation energy from the elements of number 2 (Th2Al3GaCu4)? -0.404 eV/atom